Computed, not measured: crystalline Ho2PaSn at its relaxed geometry at the PBE level of DFT.

Results
Density of states at the Fermi level = 1.05 states/eV/atom
Polymorph energy (0 for the lowest one) = 4.29 kJ/mol of atoms
Magnetic moment = 0.000 μB per atom
DFT formation energy = -15.55 kJ per mole of atoms
Symmetry = P4/mmm, No. 123

Lattice parameters (Å, degrees): 3.793 3.793 7.420 90.00 90.00 90.00
Element x y z (fractional)
Pa1 0.500 0.500 0.500
Ho1 0.000 0.000 0.768
Ho2 0.000 0.000 0.232
Sn1 0.500 0.500 0.000